# NaMg2Ga2Ag2

A relaxed NaMg2Ga2Ag2 crystal (PBE-GGA, Alexandria). Values from VASP.

Geometry as Quantum ESPRESSO input:
```
&SYSTEM
  ibrav = 0, nat = 7, ntyp = 4
/
ATOMIC_SPECIES
Ag 107.87 Ag.upf
Na 22.99 Na.upf
Ga 69.72 Ga.upf
Mg 24.30 Mg.upf
CELL_PARAMETERS angstrom
4.614 0.000 0.000
2.307 3.996 0.000
2.307 1.332 7.949
ATOMIC_POSITIONS crystal
Ag 0.250 0.250 0.249
Na 0.000 0.000 0.000
Ga 0.585 0.585 0.246
Mg 0.868 0.868 0.396
Ag 0.750 0.750 0.751
Mg 0.132 0.132 0.604
Ga 0.415 0.415 0.754
```

Properties
Its total moment is 0.00 μB per atom. The value obtained for the theoretical density is 4.84 g/cm³. The total energy is -2.4317 eV per atom.

---

# ZrMnPb2

A relaxed ZrMnPb2 crystal (PBE-GGA, Alexandria). Values from VASP.

Geometry as Quantum ESPRESSO input:
```
&SYSTEM
  ibrav = 0, nat = 4, ntyp = 3
/
ATOMIC_SPECIES
Zr 91.22 Zr.upf
Pb 207.20 Pb.upf
Mn 54.94 Mn.upf
CELL_PARAMETERS angstrom
-4.313 1.986 1.249
-2.329 2.978 -3.131
-4.122 -1.497 -2.206
ATOMIC_POSITIONS crystal
Zr 0.500 0.500 0.500
Pb 0.750 0.750 0.750
Mn 0.000 0.000 0.000
Pb 0.250 0.250 0.250
```

Properties
As for the polymorph energy (0 for the lowest one): 407.9 meV per atom. Its total moment is 0.00 μB per atom. The value obtained for the theoretical density is 11.13 g/cm³. The total energy is -5.7381 eV per atom.

---

# Al3CoGe

A relaxed Al3CoGe crystal (PBE-GGA, Alexandria). Values from VASP.

Geometry as Quantum ESPRESSO input:
```
&SYSTEM
  ibrav = 0, nat = 5, ntyp = 3
/
ATOMIC_SPECIES
Al 26.98 Al.upf
Ge 72.64 Ge.upf
Co 58.93 Co.upf
CELL_PARAMETERS angstrom
4.804 0.000 0.000
0.000 4.804 0.000
0.000 0.000 4.804
ATOMIC_POSITIONS crystal
Al 0.000 0.000 0.500
Al 0.000 0.500 0.000
Ge 0.000 0.000 0.000
Al 0.500 0.000 0.000
Co 0.500 0.500 0.500
```

Properties
As for the polymorph energy (0 for the lowest one): 966.8 meV per atom. Its total moment is 0.35 μB per atom. The value obtained for the theoretical density is 3.18 g/cm³. The total energy is -3.5105 eV per atom.

---

# La5Pm2

A relaxed La5Pm2 crystal (PBE-GGA, Alexandria). Values from VASP.

Geometry as Quantum ESPRESSO input:
```
&SYSTEM
  ibrav = 0, nat = 7, ntyp = 2
/
ATOMIC_SPECIES
La 138.91 La.upf
Pm 145.00 Pm.upf
CELL_PARAMETERS angstrom
-3.994 -4.137 2.863
5.884 -0.752 -2.467
6.301 5.661 4.942
ATOMIC_POSITIONS crystal
La 0.854 0.929 0.284
La 0.146 0.071 0.716
La 0.000 0.500 0.000
Pm 0.573 0.785 0.858
La 0.713 0.357 0.570
La 0.287 0.643 0.430
Pm 0.427 0.215 0.142
```

Properties
As for the polymorph energy (0 for the lowest one): 0.0 meV per atom. Its total moment is 0.00 μB per atom. The value obtained for the theoretical density is 6.47 g/cm³. The total energy is -4.8612 eV per atom.